1.
DFT (PBE-GGA) results for Tb2Ce3ZrN6 after structural relaxation.

Values from the calculation:
SG	C2/m
final energy	-104.73	eV/cell
Fermi-level density of states	0.690	states/eV per atom
E_form (uncorrected)	-1597	meV/atom
total magnetic moment	0.00	μB/atom
density	8.43	Mg/m³

Geometry as extended XYZ:
```
12
Lattice="3.014 -5.219 0.000 3.014 5.219 0.000 -2.009 0.000 5.718" Properties=species:S:1:pos:R:3 pbc="T T T"
Tb 3.014 3.479 0.000
Tb 3.014 -3.479 0.000
Ce -1.004 0.000 2.859
Ce 2.010 1.742 2.859
Ce 2.010 -1.742 2.859
Zr 3.014 0.000 0.000
N 0.046 1.659 4.355
N 1.096 0.000 1.380
N 0.046 -1.659 4.355
N 3.973 1.659 1.363
N 2.924 0.000 4.338
N 3.973 -1.659 1.363
```



2.
DFT (PBE-GGA) results for Cu3GeCl after structural relaxation.

Values from the calculation:
SG	Pm-3m
final energy	-15.92	eV/cell
Fermi-level density of states	1.831	states/eV per atom
E_form (uncorrected)	567	meV/atom
total magnetic moment	0.00	μB/atom
density	5.02	Mg/m³
polymorph energy (0 for the lowest one)	0.0	kJ/mol of formula units

Geometry as extended XYZ:
```
5
Lattice="4.624 0.000 0.000 0.000 4.624 0.000 0.000 0.000 4.624" Properties=species:S:1:pos:R:3 pbc="T T T"
Cu 0.000 0.000 2.312
Cu 0.000 2.312 0.000
Cu 2.312 0.000 0.000
Ge 0.000 0.000 0.000
Cl 2.312 2.312 2.312
```



3.
DFT (PBE-GGA) results for PdIBr2 after structural relaxation.

Values from the calculation:
SG	Fm-3m
final energy	-7.64	eV/cell
Fermi-level density of states	2.095	states/eV per atom
E_form (uncorrected)	613	meV/atom
total magnetic moment	0.00	μB/atom
density	6.39	Mg/m³
polymorph energy (0 for the lowest one)	302.6	kJ/mol of formula units

Geometry as extended XYZ:
```
4
Lattice="0.000 3.710 3.710 3.710 0.000 3.710 3.710 3.710 0.000" Properties=species:S:1:pos:R:3 pbc="T T T"
Pd 0.000 0.000 0.000
I 3.710 3.710 3.710
Br 1.855 1.855 1.855
Br 5.565 5.565 5.565
```



4.
DFT (PBE-GGA) results for ErAlCu2Si after structural relaxation.

Values from the calculation:
SG	Imm2
final energy	-24.36	eV/cell
Fermi-level density of states	0.430	states/eV per atom
E_form (uncorrected)	-487	meV/atom
total magnetic moment	0.00	μB/atom
density	7.07	Mg/m³

Geometry as extended XYZ:
```
5
Lattice="-1.940 1.959 5.395 1.940 -1.959 5.395 1.940 1.959 -5.395" Properties=species:S:1:pos:R:3 pbc="T T T"
Er 0.000 0.000 0.000
Al 1.940 0.000 2.696
Cu 0.000 0.000 6.615
Cu 0.000 1.959 2.866
Si 0.000 0.000 4.314
```



5.
DFT (PBE-GGA) results for AlCdIn after structural relaxation.

Values from the calculation:
SG	I4mm
final energy	-7.04	eV/cell
Fermi-level density of states	0.226	states/eV per atom
total magnetic moment	0.00	μB/atom
density	6.34	Mg/m³
energy of formation from the pure elements	0.118	eV per atom

Geometry as extended XYZ:
```
3
Lattice="-1.610 1.610 6.423 1.610 -1.610 6.423 1.610 1.610 -6.423" Properties=species:S:1:pos:R:3 pbc="T T T"
Al 0.000 0.000 0.000
Cd 0.000 0.000 4.479
In 0.000 0.000 8.505
```



6.
DFT (PBE-GGA) results for Cs2Ba2TaS6 after structural relaxation.

Values from the calculation:
SG	C2/m
final energy	-56.65	eV/cell
Fermi-level density of states	1.200	states/eV per atom
E_form (uncorrected)	-1316	meV/atom
total magnetic moment	0.07	μB/atom
density	3.84	Mg/m³

Geometry as extended XYZ:
```
11
Lattice="3.828 -6.372 0.000 3.828 6.372 0.000 -2.557 0.000 8.093" Properties=species:S:1:pos:R:3 pbc="T T T"
Cs 3.828 4.170 0.000
Cs 3.828 -4.170 0.000
Ba 2.549 2.074 4.047
Ba 2.549 -2.074 4.047
Ta -1.278 0.000 4.047
S -0.244 1.731 5.499
S 0.731 0.000 2.578
S -0.244 -1.731 5.499
S 5.343 1.731 2.594
S 4.367 0.000 5.515
S 5.343 -1.731 2.594
```



- What is the final energy in the third record?
  -7.64 eV/cell



- Among the records above, which one has the highest density?
  Tb2Ce3ZrN6



- Which formula does entry 3 have?
  PdIBr2



- Which formula does entry 5 have?
  AlCdIn